1.
{"formula": "CsK4Ag", "functional": "PBE", "state": "relaxed", "cell": [[11.812, -4.740, 0.000], [11.812, 4.740, 0.000], [-2.422, 0.000, 7.176]], "species": ["Cs", "Cs", "K", "K", "K", "K", "K", "K", "K", "K", "Ag", "Ag"], "frac_coords": [[0.211, 0.211, 0.212], [0.789, 0.789, 0.788], [0.150, 0.654, 0.401], [0.222, 0.778, 0.000], [0.346, 0.850, 0.599], [0.361, 0.361, 0.860], [0.639, 0.639, 0.140], [0.654, 0.150, 0.401], [0.778, 0.222, 0.000], [0.850, 0.346, 0.599], [0.500, 0.500, 0.311], [0.500, 0.500, 0.689]], "formation_enthalpy_0k_mev_per_atom": 24, "dos_ef_per_ev_atom": 0.649, "space_group": "C2/m, No. 12"}

---

2.
{"formula": "Cs4K5Ag", "functional": "PBE", "state": "relaxed", "cell": [[-7.578, 7.578, 3.501], [7.578, -7.578, 3.501], [7.578, 7.578, -3.501]], "species": ["Cs", "Cs", "Cs", "Cs", "K", "K", "K", "K", "K", "Ag"], "frac_coords": [[0.000, 0.315, 0.315], [0.000, 0.685, 0.685], [0.315, 0.000, 0.315], [0.685, 0.000, 0.685], [0.000, 0.000, 0.000], [0.339, 0.339, 0.678], [0.339, 0.661, 0.000], [0.661, 0.339, 0.000], [0.661, 0.661, 0.322], [0.500, 0.500, 0.000]], "formation_enthalpy_0k_mev_per_atom": 31, "dos_ef_per_ev_atom": 1.003, "space_group": "I4/mmm, No. 139"}

---

3.
{"formula": "Cs2K8Ag", "functional": "PBE", "state": "relaxed", "cell": [[12.089, -3.562, 0.000], [12.089, 3.562, 0.000], [-1.518, 0.000, 9.163]], "species": ["Cs", "Cs", "K", "K", "K", "K", "K", "K", "K", "K", "Ag"], "frac_coords": [[0.207, 0.207, 0.147], [0.793, 0.793, 0.853], [0.012, 0.012, 0.283], [0.173, 0.173, 0.640], [0.375, 0.375, 0.620], [0.422, 0.422, 0.139], [0.578, 0.578, 0.861], [0.625, 0.625, 0.380], [0.827, 0.827, 0.360], [0.988, 0.988, 0.717], [0.500, 0.500, 0.500]], "formation_enthalpy_0k_mev_per_atom": 41, "dos_ef_per_ev_atom": 0.818, "space_group": "C2/m, No. 12"}

---

Copy entry 1 word for word.
{"formula": "CsK4Ag", "functional": "PBE", "state": "relaxed", "cell": [[11.812, -4.740, 0.000], [11.812, 4.740, 0.000], [-2.422, 0.000, 7.176]], "species": ["Cs", "Cs", "K", "K", "K", "K", "K", "K", "K", "K", "Ag", "Ag"], "frac_coords": [[0.211, 0.211, 0.212], [0.789, 0.789, 0.788], [0.150, 0.654, 0.401], [0.222, 0.778, 0.000], [0.346, 0.850, 0.599], [0.361, 0.361, 0.860], [0.639, 0.639, 0.140], [0.654, 0.150, 0.401], [0.778, 0.222, 0.000], [0.850, 0.346, 0.599], [0.500, 0.500, 0.311], [0.500, 0.500, 0.689]], "formation_enthalpy_0k_mev_per_atom": 24, "dos_ef_per_ev_atom": 0.649, "space_group": "C2/m, No. 12"}